[1]
# BaLiN | Alexandria via LeMat-Bulk | PBE-GGA | optimized geometry
# formation energy (no corrections): -0.31 eV/atom
# DOS(E_F): 3.65 states/eV/cell
data_BaLiN
_cell_length_a 9.986
_cell_length_b 9.986
_cell_length_c 3.625
_cell_angle_alpha 90.00
_cell_angle_beta 90.00
_cell_angle_gamma 159.10
_symmetry_space_group_name_H-M 'P 1'
_symmetry_Int_Tables_number 1
loop_
_symmetry_equiv_pos_as_xyz
'x,y,z'
loop_
_atom_site_label
_atom_site_type_symbol
_atom_site_fract_x
_atom_site_fract_y
_atom_site_fract_z
Ba1 Ba 0.129 0.871 0.750
Ba2 Ba 0.871 0.129 0.250
Li1 Li 0.250 0.750 0.250
Li2 Li 0.750 0.250 0.750
N1 N 0.313 0.687 0.750
N2 N 0.687 0.313 0.250

---

[2]
# Ba7LiN2 | Alexandria via LeMat-Bulk | PBE-GGA | optimized geometry
# formation energy (no corrections): -0.13 eV/atom
# DOS(E_F): 8.94 states/eV/cell
data_Ba7LiN2
_cell_length_a 11.569
_cell_length_b 11.569
_cell_length_c 4.500
_cell_angle_alpha 90.00
_cell_angle_beta 90.00
_cell_angle_gamma 130.23
_symmetry_space_group_name_H-M 'P 1'
_symmetry_Int_Tables_number 1
loop_
_symmetry_equiv_pos_as_xyz
'x,y,z'
loop_
_atom_site_label
_atom_site_type_symbol
_atom_site_fract_x
_atom_site_fract_y
_atom_site_fract_z
Ba1 Ba 0.000 0.000 0.000
Ba2 Ba 0.145 0.396 0.000
Ba3 Ba 0.204 0.796 0.500
Ba4 Ba 0.396 0.145 0.000
Ba5 Ba 0.604 0.855 0.000
Ba6 Ba 0.796 0.204 0.500
Ba7 Ba 0.855 0.604 0.000
Li1 Li 0.500 0.500 0.500
N1 N 0.132 0.868 0.000
N2 N 0.868 0.132 0.000

---

[3]
# Ba8LiN2 | Alexandria via LeMat-Bulk | PBE-GGA | optimized geometry
# formation energy (no corrections): -0.16 eV/atom
# DOS(E_F): 9.48 states/eV/cell
data_Ba8LiN2
_cell_length_a 9.644
_cell_length_b 9.644
_cell_length_c 7.929
_cell_angle_alpha 95.61
_cell_angle_beta 95.61
_cell_angle_gamma 58.63
_symmetry_space_group_name_H-M 'P 1'
_symmetry_Int_Tables_number 1
loop_
_symmetry_equiv_pos_as_xyz
'x,y,z'
loop_
_atom_site_label
_atom_site_type_symbol
_atom_site_fract_x
_atom_site_fract_y
_atom_site_fract_z
Ba1 Ba 0.115 0.676 0.771
Ba2 Ba 0.172 0.172 0.822
Ba3 Ba 0.317 0.317 0.272
Ba4 Ba 0.324 0.885 0.229
Ba5 Ba 0.676 0.115 0.771
Ba6 Ba 0.683 0.683 0.728
Ba7 Ba 0.828 0.828 0.178
Ba8 Ba 0.885 0.324 0.229
Li1 Li 0.000 0.000 0.500
N1 N 0.175 0.175 0.143
N2 N 0.825 0.825 0.857

---

[4]
# BaLiN | Alexandria via LeMat-Bulk | PBE-GGA | optimized geometry
# formation energy (no corrections): -0.32 eV/atom
# DOS(E_F): 4.55 states/eV/cell
data_BaLiN
_cell_length_a 6.406
_cell_length_b 7.077
_cell_length_c 6.208
_cell_angle_alpha 90.00
_cell_angle_beta 107.85
_cell_angle_gamma 90.00
_symmetry_space_group_name_H-M 'P 1'
_symmetry_Int_Tables_number 1
loop_
_symmetry_equiv_pos_as_xyz
'x,y,z'
loop_
_atom_site_label
_atom_site_type_symbol
_atom_site_fract_x
_atom_site_fract_y
_atom_site_fract_z
Ba1 Ba 0.233 0.081 0.332
Ba2 Ba 0.233 0.419 0.832
Ba3 Ba 0.767 0.581 0.168
Ba4 Ba 0.767 0.919 0.668
Li1 Li 0.429 0.633 0.393
Li2 Li 0.429 0.867 0.893
Li3 Li 0.571 0.133 0.107
Li4 Li 0.571 0.367 0.607
N1 N 0.459 0.130 0.751
N2 N 0.459 0.370 0.251
N3 N 0.541 0.630 0.749
N4 N 0.541 0.870 0.249

---

[5]
# Ba6LiN2 | Alexandria via LeMat-Bulk | PBE-GGA | optimized geometry
# formation energy (no corrections): -0.18 eV/atom
# DOS(E_F): 5.81 states/eV/cell
data_Ba6LiN2
_cell_length_a 7.853
_cell_length_b 7.853
_cell_length_c 10.479
_cell_angle_alpha 104.65
_cell_angle_beta 104.65
_cell_angle_gamma 41.13
_symmetry_space_group_name_H-M 'P 1'
_symmetry_Int_Tables_number 1
loop_
_symmetry_equiv_pos_as_xyz
'x,y,z'
loop_
_atom_site_label
_atom_site_type_symbol
_atom_site_fract_x
_atom_site_fract_y
_atom_site_fract_z
Ba1 Ba 0.058 0.058 0.197
Ba2 Ba 0.298 0.298 0.934
Ba3 Ba 0.333 0.333 0.367
Ba4 Ba 0.667 0.667 0.633
Ba5 Ba 0.702 0.702 0.066
Ba6 Ba 0.942 0.942 0.803
Li1 Li 0.000 0.000 0.500
N1 N 0.215 0.215 0.139
N2 N 0.785 0.785 0.861

---

[6]
# BaLi4N2 | Alexandria via LeMat-Bulk | PBE-GGA | optimized geometry
# formation energy (no corrections): -0.29 eV/atom
data_BaLi4N2
_cell_length_a 7.525
_cell_length_b 7.525
_cell_length_c 7.525
_cell_angle_alpha 28.82
_cell_angle_beta 28.82
_cell_angle_gamma 28.82
_symmetry_space_group_name_H-M 'P 1'
_symmetry_Int_Tables_number 1
loop_
_symmetry_equiv_pos_as_xyz
'x,y,z'
loop_
_atom_site_label
_atom_site_type_symbol
_atom_site_fract_x
_atom_site_fract_y
_atom_site_fract_z
Ba1 Ba 0.000 0.000 0.000
Li1 Li 0.142 0.142 0.142
Li2 Li 0.436 0.436 0.436
Li3 Li 0.564 0.564 0.564
Li4 Li 0.858 0.858 0.858
N1 N 0.238 0.238 0.238
N2 N 0.762 0.762 0.762

---

[7]
# BaLiN | Alexandria via LeMat-Bulk | PBE-GGA | optimized geometry
# formation energy (no corrections): -0.32 eV/atom
data_BaLiN
_cell_length_a 5.853
_cell_length_b 5.853
_cell_length_c 6.351
_cell_angle_alpha 115.47
_cell_angle_beta 115.47
_cell_angle_gamma 37.26
_symmetry_space_group_name_H-M 'P 1'
_symmetry_Int_Tables_number 1
loop_
_symmetry_equiv_pos_as_xyz
'x,y,z'
loop_
_atom_site_label
_atom_site_type_symbol
_atom_site_fract_x
_atom_site_fract_y
_atom_site_fract_z
Ba1 Ba 0.092 0.092 0.315
Ba2 Ba 0.908 0.908 0.685
Li1 Li 0.281 0.281 0.113
Li2 Li 0.719 0.719 0.887
N1 N 0.267 0.267 0.776
N2 N 0.733 0.733 0.224

---

[8]
# Ba2LiN | Alexandria via LeMat-Bulk | PBE-GGA | optimized geometry
# formation energy (no corrections): -0.28 eV/atom
# DOS(E_F): 18.43 states/eV/cell
data_Ba2LiN
_cell_length_a 8.193
_cell_length_b 8.193
_cell_length_c 15.997
_cell_angle_alpha 90.00
_cell_angle_beta 90.00
_cell_angle_gamma 90.00
_symmetry_space_group_name_H-M 'P 1'
_symmetry_Int_Tables_number 1
loop_
_symmetry_equiv_pos_as_xyz
'x,y,z'
loop_
_atom_site_label
_atom_site_type_symbol
_atom_site_fract_x
_atom_site_fract_y
_atom_site_fract_z
Ba1 Ba 0.017 0.750 0.164
Ba2 Ba 0.028 0.250 0.139
Ba3 Ba 0.250 0.028 0.639
Ba4 Ba 0.250 0.472 0.639
Ba5 Ba 0.250 0.517 0.336
Ba6 Ba 0.250 0.983 0.336
Ba7 Ba 0.472 0.250 0.139
Ba8 Ba 0.483 0.750 0.164
Ba9 Ba 0.517 0.250 0.836
Ba10 Ba 0.528 0.750 0.861
Ba11 Ba 0.750 0.017 0.664
Ba12 Ba 0.750 0.483 0.664
Ba13 Ba 0.750 0.528 0.361
Ba14 Ba 0.750 0.972 0.361
Ba15 Ba 0.972 0.750 0.861
Ba16 Ba 0.983 0.250 0.836
Li1 Li 0.021 0.750 0.464
Li2 Li 0.250 0.521 0.036
Li3 Li 0.250 0.979 0.036
Li4 Li 0.479 0.750 0.464
Li5 Li 0.521 0.250 0.536
Li6 Li 0.750 0.021 0.964
Li7 Li 0.750 0.479 0.964
Li8 Li 0.979 0.250 0.536
N1 N 0.004 0.250 0.662
N2 N 0.250 0.004 0.162
N3 N 0.250 0.496 0.162
N4 N 0.496 0.250 0.662
N5 N 0.504 0.750 0.338
N6 N 0.750 0.504 0.838
N7 N 0.750 0.996 0.838
N8 N 0.996 0.750 0.338

---

[9]
# Ba2LiN | Alexandria via LeMat-Bulk | PBE-GGA | optimized geometry
# formation energy (no corrections): -0.19 eV/atom
# DOS(E_F): 1.62 states/eV/cell
data_Ba2LiN
_cell_length_a 10.808
_cell_length_b 10.808
_cell_length_c 10.808
_cell_angle_alpha 21.05
_cell_angle_beta 21.05
_cell_angle_gamma 21.05
_symmetry_space_group_name_H-M 'P 1'
_symmetry_Int_Tables_number 1
loop_
_symmetry_equiv_pos_as_xyz
'x,y,z'
loop_
_atom_site_label
_atom_site_type_symbol
_atom_site_fract_x
_atom_site_fract_y
_atom_site_fract_z
Ba1 Ba 0.118 0.118 0.118
Ba2 Ba 0.882 0.882 0.882
Li1 Li 0.000 0.000 0.000
N1 N 0.500 0.500 0.500

---

[10]
# Ba7Na5Li3N3 | Alexandria via LeMat-Bulk | PBE-GGA | optimized geometry
# formation energy (no corrections): -0.20 eV/atom
# DOS(E_F): 14.49 states/eV/cell
data_Ba7Na5Li3N3
_cell_length_a 12.504
_cell_length_b 12.504
_cell_length_c 12.504
_cell_angle_alpha 60.00
_cell_angle_beta 60.00
_cell_angle_gamma 60.00
_symmetry_space_group_name_H-M 'P 1'
_symmetry_Int_Tables_number 1
loop_
_symmetry_equiv_pos_as_xyz
'x,y,z'
loop_
_atom_site_label
_atom_site_type_symbol
_atom_site_fract_x
_atom_site_fract_y
_atom_site_fract_z
Ba1 Ba 0.186 0.605 0.605
Ba2 Ba 0.209 0.209 0.791
Ba3 Ba 0.209 0.791 0.209
Ba4 Ba 0.209 0.791 0.791
Ba5 Ba 0.396 0.396 0.396
Ba6 Ba 0.396 0.396 0.812
Ba7 Ba 0.396 0.812 0.396
Ba8 Ba 0.605 0.186 0.605
Ba9 Ba 0.605 0.605 0.186
Ba10 Ba 0.605 0.605 0.605
Ba11 Ba 0.791 0.209 0.209
Ba12 Ba 0.791 0.209 0.791
Ba13 Ba 0.791 0.791 0.209
Ba14 Ba 0.812 0.396 0.396
Na1 Na 0.172 0.172 0.172
Na2 Na 0.172 0.172 0.484
Na3 Na 0.172 0.484 0.172
Na4 Na 0.484 0.172 0.172
Na5 Na 0.509 0.509 0.991
Na6 Na 0.509 0.991 0.509
Na7 Na 0.509 0.991 0.991
Na8 Na 0.991 0.509 0.509
Na9 Na 0.991 0.509 0.991
Na10 Na 0.991 0.991 0.509
Li1 Li 0.000 0.000 0.000
Li2 Li 0.500 0.500 0.500
Li3 Li 0.550 0.817 0.817
Li4 Li 0.817 0.550 0.817
Li5 Li 0.817 0.817 0.550
Li6 Li 0.817 0.817 0.817
N1 N 0.351 0.351 0.649
N2 N 0.351 0.649 0.351
N3 N 0.351 0.649 0.649
N4 N 0.649 0.351 0.351
N5 N 0.649 0.351 0.649
N6 N 0.649 0.649 0.351

---

[11]
# Ba14Na11Li5N6 | Alexandria via LeMat-Bulk | PBE-GGA | optimized geometry
# formation energy (no corrections): -0.21 eV/atom
# DOS(E_F): 14.99 states/eV/cell
data_Ba14Na11Li5N6
_cell_length_a 12.572
_cell_length_b 12.572
_cell_length_c 12.572
_cell_angle_alpha 60.00
_cell_angle_beta 60.00
_cell_angle_gamma 60.00
_symmetry_space_group_name_H-M 'P 1'
_symmetry_Int_Tables_number 1
loop_
_symmetry_equiv_pos_as_xyz
'x,y,z'
loop_
_atom_site_label
_atom_site_type_symbol
_atom_site_fract_x
_atom_site_fract_y
_atom_site_fract_z
Ba1 Ba 0.190 0.603 0.603
Ba2 Ba 0.212 0.212 0.788
Ba3 Ba 0.212 0.788 0.212
Ba4 Ba 0.212 0.788 0.788
Ba5 Ba 0.396 0.396 0.396
Ba6 Ba 0.396 0.396 0.812
Ba7 Ba 0.396 0.812 0.396
Ba8 Ba 0.603 0.190 0.603
Ba9 Ba 0.603 0.603 0.190
Ba10 Ba 0.603 0.603 0.603
Ba11 Ba 0.788 0.212 0.212
Ba12 Ba 0.788 0.212 0.788
Ba13 Ba 0.788 0.788 0.212
Ba14 Ba 0.812 0.396 0.396
Na1 Na 0.000 0.000 0.000
Na2 Na 0.009 0.009 0.491
Na3 Na 0.009 0.491 0.009
Na4 Na 0.009 0.491 0.491
Na5 Na 0.491 0.009 0.009
Na6 Na 0.491 0.009 0.491
Na7 Na 0.491 0.491 0.009
Na8 Na 0.515 0.828 0.828
Na9 Na 0.828 0.515 0.828
Na10 Na 0.828 0.828 0.515
Na11 Na 0.828 0.828 0.828
Li1 Li 0.183 0.183 0.183
Li2 Li 0.183 0.183 0.450
Li3 Li 0.183 0.450 0.183
Li4 Li 0.450 0.183 0.183
Li5 Li 0.500 0.500 0.500
N1 N 0.353 0.353 0.647
N2 N 0.353 0.647 0.353
N3 N 0.353 0.647 0.647
N4 N 0.647 0.353 0.353
N5 N 0.647 0.353 0.647
N6 N 0.647 0.647 0.353

---

[12]
# Ba2NaLiN | Alexandria via LeMat-Bulk | PBE-GGA | optimized geometry
# formation energy (no corrections): -0.26 eV/atom
# DOS(E_F): 4.18 states/eV/cell
data_Ba2NaLiN
_cell_length_a 6.462
_cell_length_b 8.758
_cell_length_c 6.499
_cell_angle_alpha 90.00
_cell_angle_beta 90.00
_cell_angle_gamma 90.00
_symmetry_space_group_name_H-M 'P 1'
_symmetry_Int_Tables_number 1
loop_
_symmetry_equiv_pos_as_xyz
'x,y,z'
loop_
_atom_site_label
_atom_site_type_symbol
_atom_site_fract_x
_atom_site_fract_y
_atom_site_fract_z
Ba1 Ba 0.250 0.199 0.192
Ba2 Ba 0.250 0.801 0.192
Ba3 Ba 0.750 0.199 0.808
Ba4 Ba 0.750 0.801 0.808
Na1 Na 0.250 0.500 0.692
Na2 Na 0.750 0.500 0.308
Li1 Li 0.250 0.000 0.812
Li2 Li 0.750 0.000 0.188
N1 N 0.000 0.000 0.000
N2 N 0.500 0.000 0.000

---

Number 1: E -4.365 eV/atom. Number 2: E -3.334 eV/atom. Number 3: E -3.241 eV/atom. Number 4: E -4.379 eV/atom. Number 5: E -3.528 eV/atom. Number 6: E -4.034 eV/atom. Number 7: E -4.378 eV/atom. Number 8: E -3.798 eV/atom. Number 9: E -3.716 eV/atom. Number 10: E -3.024 eV/atom. Number 11: E -3.012 eV/atom. Number 12: E -3.343 eV/atom.